# LaW3

A relaxed LaW3 crystal (GGA-PBEsol, Alexandria).

ΔE to the lowest computed polymorph: 0 meV per atom
space group: Cmmm (65)
energy of formation from the pure elements: 0.47 eV/atom
calculated total energy: -44.9 eV/cell

a = 2.833 Å, b = 2.833 Å, c = 9.736 Å
α = 90.00°, β = 90.00°, γ = 111.35°
Element x y z (fractional)
1 W 0.500 0.500 0.718
2 W 0.000 0.000 0.500
3 W 0.500 0.500 0.282
4 La 0.000 0.000 0.000